Computed, not measured: a relaxed Mn2FeSi2 crystal at the PBE level of DFT.

For the total energy, the calculation gives -7.799 eV/atom. The uncorrected formation energy comes out at -0.2691 eV per atom.

The space group is P4/mbm (No. 127) and the conventional cell measures 6.2078, 6.2078 and 3.1706 Å, with angles of 90.00, 90.00 and 90.00 degrees. The distinct sites, in fractional coordinates, are Mn at (0.1622, 0.3378, 0.0000), Fe at (0.0000, 0.0000, 0.5000) and Si at (0.1378, 0.6378, 0.5000).

---

Computed, not measured: a relaxed BeZnIrRh crystal at the PBE level of DFT.

The calculation puts the formation energy at -0.319 eV/atom. For the total energy, the calculation gives -5.622 eV/atom.

The space group is F-43m (No. 216) and the conventional cell measures 5.8559, 5.8559 and 5.8559 Å, with angles of 90.00, 90.00 and 90.00 degrees. The distinct sites, in fractional coordinates, are Be at (0.0000, 0.0000, 0.0000), Zn at (0.0000, 0.0000, 0.5000), Ir at (0.2500, 0.2500, 0.2500) and Rh at (0.2500, 0.2500, 0.7500).

---

Computed, not measured: a relaxed Tm4In2Au crystal at the PBE level of DFT.

The calculation puts the formation energy at -0.118 eV/atom. For the total energy, the calculation gives -3.924 eV/atom.

The space group is P2/m (No. 10) and the conventional cell measures 7.8442, 3.5509 and 8.8779 Å, with angles of 90.00, 116.04 and 90.00 degrees. The distinct sites, in fractional coordinates, are Tm at (0.0892, 0.0000, 0.3456), Tm at (0.2964, 0.5000, 0.0356), In at (0.2897, 0.5000, 0.6745) and Au at (0.0000, 0.0000, 0.0000).

---

Computed, not measured: a relaxed SrNd2SnO6 crystal at the PBE level of DFT.

For the total energy, the calculation gives -7.218 eV/atom. The uncorrected formation energy comes out at -2.7206 eV per atom.

The space group is R3 (No. 146, hexagonal axes) and the conventional cell measures 5.9713, 5.9713 and 15.4906 Å, with angles of 90.00, 90.00 and 120.00 degrees. The distinct sites, in fractional coordinates, are Sr at (0.0000, 0.0000, 0.0000), Nd at (0.0000, 0.0000, 0.2718), Nd at (0.0000, 0.0000, 0.7764), Sn at (0.0000, 0.0000, 0.4853), O at (0.0053, 0.3749, 0.2171) and O at (0.0066, 0.7335, 0.3934).

---

Computed, not measured: a relaxed AcNbGe3 crystal at the PBE level of DFT.

The calculation puts the formation energy at -0.257 eV/atom. For the total energy, the calculation gives -5.863 eV/atom. As for the energy above the most stable polymorph in this dataset: 0.325 eV/atom.

The space group is Pm-3m (No. 221) and the conventional cell measures 5.0181, 5.0181 and 5.0181 Å, with angles of 90.00, 90.00 and 90.00 degrees. The distinct sites, in fractional coordinates, are Ac at (0.0000, 0.0000, 0.0000), Nb at (0.5000, 0.5000, 0.5000) and Ge at (0.0000, 0.5000, 0.5000).

---

Computed, not measured: a relaxed Ba3Bi2Au2 crystal at the PBE level of DFT.

The calculation puts the formation energy at -0.785 eV/atom. For the total energy, the calculation gives -3.655 eV/atom.

The space group is C2/m (No. 12) and the conventional cell measures 12.4778, 5.0336 and 8.7536 Å, with angles of 90.00, 109.51 and 90.00 degrees. The distinct sites, in fractional coordinates, are Ba at (0.0000, 0.0000, 0.0000), Ba at (0.1721, 0.0000, 0.6580), Bi at (0.0380, 0.5000, 0.3371) and Au at (0.1951, 0.5000, 0.9437).

---

Computed, not measured: a relaxed Cs2SrSnBr6 crystal at the PBE level of DFT.

For the total energy, the calculation gives -3.337 eV/atom. As for the energy above the most stable polymorph in this dataset: 0.009 eV/atom. The uncorrected formation energy comes out at -1.5942 eV per atom.

The space group is Fm-3m (No. 225) and the conventional cell measures 11.9549, 11.9549 and 11.9549 Å, with angles of 90.00, 90.00 and 90.00 degrees. The distinct sites, in fractional coordinates, are Cs at (0.2500, 0.2500, 0.2500), Sr at (0.0000, 0.0000, 0.0000), Sn at (0.0000, 0.0000, 0.5000) and Br at (0.0000, 0.0000, 0.2521).

---

Computed, not measured: a relaxed TaRh2Cl crystal at the PBE level of DFT.

For the total energy, the calculation gives -7.445 eV/atom. As for the energy above the most stable polymorph in this dataset: 0.000 eV/atom. The uncorrected formation energy comes out at -0.3444 eV per atom.

The space group is Pmmm (No. 47) and the conventional cell measures 3.1716, 3.2133 and 7.0748 Å, with angles of 90.00, 90.00 and 90.00 degrees. The distinct sites, in fractional coordinates, are Ta at (0.0000, 0.0000, 0.0000), Rh at (0.5000, 0.5000, 0.1985) and Cl at (0.0000, 0.5000, 0.5000).

---

Please write out number 6 again, unchanged.
Computed, not measured: a relaxed Ba3Bi2Au2 crystal at the PBE level of DFT.

The calculation puts the formation energy at -0.785 eV/atom. For the total energy, the calculation gives -3.655 eV/atom.

The space group is C2/m (No. 12) and the conventional cell measures 12.4778, 5.0336 and 8.7536 Å, with angles of 90.00, 109.51 and 90.00 degrees. The distinct sites, in fractional coordinates, are Ba at (0.0000, 0.0000, 0.0000), Ba at (0.1721, 0.0000, 0.6580), Bi at (0.0380, 0.5000, 0.3371) and Au at (0.1951, 0.5000, 0.9437).